(1)
PmDy3Ho2Te6 GGA-PBE relaxed; raw formation energy = -1.290 eV/atom; magnetic moment = 0.00 μB per formula unit; SG = No. 12; energy = -5.170 eV/atom
1.0
4.341 0.000 0.000
0.000 8.775 0.337
-2.171 -2.503 9.176
Ho Dy Te Pm
2 3 6 1
Cartesian
2.171 4.205 6.391 Ho
0.000 2.068 3.122 Ho
2.171 -0.228 6.262 Dy
0.000 6.501 3.252 Dy
2.171 4.388 0.169 Dy
2.171 4.270 3.285 Te
0.000 6.371 6.344 Te
2.171 4.022 9.400 Te
0.000 2.003 6.229 Te
2.171 -0.098 3.170 Te
0.000 2.251 0.114 Te
2.171 0.000 0.000 Pm

---

(2)
Pm2Dy3HoTe6 GGA-PBE relaxed; raw formation energy = -1.318 eV/atom; magnetic moment = 0.00 μB per formula unit; SG = No. 12; energy = -5.212 eV/atom
1.0
4.357 0.000 0.000
0.000 8.830 0.339
-2.179 -2.522 9.226
Te Dy Ho Pm
6 3 1 2
Cartesian
0.000 1.935 6.359 Te
0.000 6.634 0.309 Te
2.179 4.373 3.206 Te
0.000 6.467 6.516 Te
2.179 -0.159 3.049 Te
2.179 -0.326 9.256 Te
2.179 4.415 0.169 Dy
0.000 6.500 3.449 Dy
2.179 -0.192 6.116 Dy
2.179 0.000 0.000 Ho
2.179 4.190 6.319 Pm
0.000 2.118 3.246 Pm

---

(3)
Pm3DyHo3Te8 GGA-PBE relaxed; raw formation energy = -1.392 eV/atom; magnetic moment = 0.00 μB per formula unit; SG = No. 166; energy = -5.240 eV/atom
1.0
-4.983 3.000 6.539
4.223 -7.617 0.857
4.518 7.531 -0.012
Te Ho Pm Dy
8 3 3 1
Cartesian
-0.493 0.393 5.301 Te
6.303 -1.182 2.499 Te
-2.545 4.096 4.884 Te
4.250 2.520 2.083 Te
2.054 -1.140 2.088 Te
1.704 4.054 5.295 Te
3.881 0.276 5.677 Te
-0.123 2.637 1.706 Te
4.370 -0.043 0.422 Ho
-0.233 5.265 3.263 Ho
1.879 1.457 3.692 Ho
2.111 -3.809 0.428 Pm
0.000 0.000 0.000 Pm
-0.380 -2.309 3.698 Pm
2.259 3.765 -0.006 Dy

---

(4)
Pm3DyHo2Te6 GGA-PBE relaxed; raw formation energy = -1.336 eV/atom; magnetic moment = 0.00 μB per formula unit; SG = No. 12; energy = -5.241 eV/atom
1.0
-3.899 0.091 1.957
2.617 -6.471 5.513
4.409 8.106 3.541
Te Ho Pm Dy
6 2 3 1
Cartesian
0.654 -1.541 1.375 Te
0.392 -0.924 5.688 Te
4.032 -0.429 8.051 Te
-0.905 2.155 2.961 Te
2.735 2.650 5.324 Te
2.473 3.267 9.637 Te
1.440 1.163 7.678 Ho
1.687 0.563 3.334 Ho
2.996 -2.682 6.091 Pm
-0.641 -3.190 3.735 Pm
0.132 4.408 4.921 Pm
-1.949 0.045 0.979 Dy

---

- The highest energy belongs to which entry?
  PmDy3Ho2Te6